A PBEsol-optimized structure of CaBeRe2. Source: Alexandria, functional meta-GGA SCAN.

Values from the calculation:
The calculation puts the total energy at -38.613 eV per atom.

Unit cell a=3.0765 b=3.0765 c=6.7559 alpha=90.00 beta=90.00 gamma=90.00
Space group P4/mmm (No. 123)
Asymmetric unit:
1 Ca 0.0000 0.0000 0.0000
2 Be 0.0000 0.0000 0.5000
3 Re 0.5000 0.5000 0.3305